DFT (PBE with a Hubbard U) results for crystalline Na3MnO3 at its relaxed geometry.

electronic total energy: -146.28 eV/cell
relative energy among the computed polymorphs: 0 meV per atom

Cell and atoms, written as POSCAR:
```
Na3MnO3
1.0
-4.969 -0.640 3.353
-5.786 -2.277 -9.010
1.463 -5.874 0.544
O Na Mn
12 12 4
direct
0.671 0.372 0.294
0.396 0.089 0.894
0.896 0.411 0.894
0.301 0.371 0.686
0.104 0.589 0.106
0.801 0.129 0.686
0.829 0.872 0.706
0.171 0.128 0.294
0.699 0.629 0.314
0.329 0.628 0.706
0.199 0.871 0.314
0.604 0.911 0.106
0.147 0.001 0.643
0.405 0.724 0.055
0.977 0.275 0.490
0.095 0.224 0.945
0.477 0.225 0.490
0.647 0.499 0.643
0.353 0.501 0.357
0.023 0.725 0.510
0.905 0.776 0.055
0.853 0.999 0.357
0.595 0.276 0.945
0.523 0.775 0.510
0.330 0.000 0.165
0.830 0.500 0.165
0.170 0.500 0.835
0.670 0.000 0.835
```